Entry 1:
# GGA-PBE ErInNO, relaxed
# Magnetization = 0.00 μB/cell
# Calculated total energy = -51.90 eV for the cell shown
# Distance to the lowest polymorph of the same formula = 0.0000 eV/atom
data_ErInNO
_chemical_formula_sum 'Er2 In2 N2 O2'
_cell_length_a 4.911
_cell_length_b 4.911
_cell_length_c 4.729
_cell_angle_alpha 90.00
_cell_angle_beta 90.00
_cell_angle_gamma 90.00
_symmetry_space_group_name_H-M 'P 4/n m m'
_symmetry_Int_Tables_number 129
loop_
_symmetry_equiv_pos_as_xyz
'x,y,z'
'-x,-y,-z'
'-y+1/2,x,z'
'y+1/2,-x,-z'
'-x+1/2,-y+1/2,z'
'x+1/2,y+1/2,-z'
'y,-x+1/2,z'
'-y,x+1/2,-z'
'x+1/2,-y,-z'
'-x+1/2,y,z'
'-y,-x,-z'
'y,x,z'
'-x,y+1/2,-z'
'x,-y+1/2,z'
'y+1/2,x+1/2,-z'
'-y+1/2,-x+1/2,z'
loop_
_atom_site_label
_atom_site_type_symbol
_atom_site_fract_x
_atom_site_fract_y
_atom_site_fract_z
Er1 Er 0.250 0.750 0.000
In1 In 0.250 0.250 0.498
N1 N 0.250 0.250 0.997
O1 O 0.250 0.750 0.500

=====

Entry 2:
# GGA-PBE ErInNO, relaxed
# Magnetization = 0.00 μB/cell
# Calculated total energy = -100.64 eV for the cell shown
# Distance to the lowest polymorph of the same formula = 0.1971 eV/atom
data_ErInNO
_chemical_formula_sum 'Er4 In4 N4 O4'
_cell_length_a 5.676
_cell_length_b 5.676
_cell_length_c 7.787
_cell_angle_alpha 90.00
_cell_angle_beta 90.27
_cell_angle_gamma 90.00
_symmetry_space_group_name_H-M 'C 1 m 1'
_symmetry_Int_Tables_number 8
loop_
_symmetry_equiv_pos_as_xyz
'x,y,z'
'x,-y,z'
'x+1/2,y+1/2,z'
'x+1/2,-y+1/2,z'
loop_
_atom_site_label
_atom_site_type_symbol
_atom_site_fract_x
_atom_site_fract_y
_atom_site_fract_z
Er1 Er 0.000 0.000 0.000
Er2 Er 0.002 0.500 0.249
In1 In 0.257 0.250 0.625
N1 N 0.006 0.000 0.465
N2 N 0.007 0.500 0.786
O1 O 0.251 0.250 0.124

=====

Entry 3:
# GGA-PBE Er4InPbN2, relaxed
# Magnetization = 0.00 μB/cell
# Calculated total energy = -50.05 eV for the cell shown
data_Er4InPbN2
_chemical_formula_sum 'Er4 In1 Pb1 N2'
_cell_length_a 3.4975
_cell_length_b 3.4975
_cell_length_c 15.5193
_cell_angle_alpha 90.00
_cell_angle_beta 90.00
_cell_angle_gamma 120.00
_symmetry_space_group_name_H-M 'P -6 m 2'
_symmetry_Int_Tables_number 187
_symmetry_space_group_name_Hall 'P -6 2'
loop_
_atom_site_label
_atom_site_type_symbol
_atom_site_fract_x
_atom_site_fract_y
_atom_site_fract_z
Er1 Er 0.0000 0.0000 0.1653
Er2 Er 0.3333 0.6667 0.3326
In1 In 0.3333 0.6667 0.0000
Pb1 Pb 0.0000 0.0000 0.5000
N1 N 0.6667 0.3333 0.2509

=====

Entry 4:
# GGA-PBE Er4TlInN2, relaxed
# Magnetization = 0.00 μB/cell
# Calculated total energy = -48.34 eV for the cell shown
data_Er4TlInN2
_chemical_formula_sum 'Er4 Tl1 In1 N2'
_cell_length_a 3.4833
_cell_length_b 3.4833
_cell_length_c 15.5941
_cell_angle_alpha 90.00
_cell_angle_beta 90.00
_cell_angle_gamma 120.00
_symmetry_space_group_name_H-M 'P -6 m 2'
_symmetry_Int_Tables_number 187
_symmetry_space_group_name_Hall 'P -6 2'
loop_
_atom_site_label
_atom_site_type_symbol
_atom_site_fract_x
_atom_site_fract_y
_atom_site_fract_z
Er1 Er 0.0000 0.0000 0.1655
Er2 Er 0.3333 0.6667 0.3340
Tl1 Tl 0.0000 0.0000 0.5000
In1 In 0.3333 0.6667 0.0000
N1 N 0.6667 0.3333 0.2503

=====

Entry 5:
# GGA-PBE ErTmInN, relaxed
# Magnetization = 0.00 μB/cell
# Calculated total energy = -48.75 eV for the cell shown
data_ErTmInN
_chemical_formula_sum 'Er2 Tm2 In2 N2'
_cell_length_a 3.4697
_cell_length_b 3.4697
_cell_length_c 15.5836
_cell_angle_alpha 90.00
_cell_angle_beta 90.00
_cell_angle_gamma 120.00
_symmetry_space_group_name_H-M 'P -6 m 2'
_symmetry_Int_Tables_number 187
_symmetry_space_group_name_Hall 'P -6 2'
loop_
_atom_site_label
_atom_site_type_symbol
_atom_site_fract_x
_atom_site_fract_y
_atom_site_fract_z
Er1 Er 0.0000 0.0000 0.1661
Tm1 Tm 0.3333 0.6667 0.3342
In1 In 0.0000 0.0000 0.5000
In2 In 0.3333 0.6667 0.0000
N1 N 0.6667 0.3333 0.2514

=====

Entry 6:
# GGA-PBE Er3TmIn2N2, relaxed
# Magnetization = 0.01 μB/cell
# Calculated total energy = -48.81 eV for the cell shown
data_Er3TmIn2N2
_chemical_formula_sum 'Er3 Tm1 In2 N2'
_cell_length_a 3.4748
_cell_length_b 3.4748
_cell_length_c 15.6093
_cell_angle_alpha 90.00
_cell_angle_beta 90.00
_cell_angle_gamma 120.00
_symmetry_space_group_name_H-M 'P 3 m 1'
_symmetry_Int_Tables_number 156
loop_
_symmetry_equiv_pos_as_xyz
'x,y,z'
'-y,x-y,z'
'-x+y,-x,z'
'-y,-x,z'
'-x+y,y,z'
'x,x-y,z'
loop_
_atom_site_label
_atom_site_type_symbol
_atom_site_fract_x
_atom_site_fract_y
_atom_site_fract_z
Er1 Er 0.0000 0.0000 0.0000
Er2 Er 0.0000 0.0000 0.3320
Er3 Er 0.3333 0.6667 0.8315
Tm1 Tm 0.3333 0.6667 0.4997
In1 In 0.0000 0.0000 0.6652
In2 In 0.3333 0.6667 0.1661
N1 N 0.6667 0.3333 0.4171
N2 N 0.6667 0.3333 0.9157

=====

Entry 7:
# GGA-PBE ErTmInN, relaxed
# Magnetization = 0.00 μB/cell
# Calculated total energy = -48.75 eV for the cell shown
data_ErTmInN
_chemical_formula_sum 'Er2 Tm2 In2 N2'
_cell_length_a 3.4695
_cell_length_b 3.4695
_cell_length_c 15.5828
_cell_angle_alpha 90.00
_cell_angle_beta 90.00
_cell_angle_gamma 120.00
_symmetry_space_group_name_H-M 'P -3 m 1'
_symmetry_Int_Tables_number 164
_symmetry_space_group_name_Hall '-P 3 2"'
loop_
_atom_site_label
_atom_site_type_symbol
_atom_site_fract_x
_atom_site_fract_y
_atom_site_fract_z
Er1 Er 0.3333 0.6667 0.0844
Tm1 Tm 0.3333 0.6667 0.4163
In1 In 0.3333 0.6667 0.7491
N1 N 0.0000 0.0000 0.0000
N2 N 0.0000 0.0000 0.5000

=====

Entry 8:
# GGA-PBE NaErIn, relaxed
# Magnetization = 0.01 μB/cell
# Calculated total energy = -30.40 eV for the cell shown
data_NaErIn
_chemical_formula_sum 'Na4 Er4 In4'
_cell_length_a 6.991
_cell_length_b 6.991
_cell_length_c 6.991
_cell_angle_alpha 90.00
_cell_angle_beta 90.00
_cell_angle_gamma 90.00
_symmetry_space_group_name_H-M 'F -4 3 m'
_symmetry_Int_Tables_number 216
_symmetry_space_group_name_Hall 'F -4 2 3'
loop_
_atom_site_label
_atom_site_type_symbol
_atom_site_fract_x
_atom_site_fract_y
_atom_site_fract_z
Na1 Na 0.000 0.000 0.000
Er1 Er 0.250 0.250 0.750
In1 In 0.250 0.250 0.250